No. 1
BaRe3Ag | Alexandria | PBE | relaxed; energy relative to the elements = 3.903 eV/atom; ΔE to the lowest computed polymorph = 1265 meV/atom
1.0
5.006 0.000 0.000
0.000 5.006 0.000
0.000 0.000 5.006
Ba Re Ag
1 3 1
direct
0.000 0.000 0.000 Ba
0.000 0.000 0.500 Re
0.000 0.500 0.000 Re
0.500 0.000 0.000 Re
0.500 0.500 0.500 Ag


No. 2
BaReAg4 | Alexandria | PBE | relaxed; energy relative to the elements = 0.650 eV/atom
1.0
0.000 4.046 4.046
4.046 0.000 4.046
4.046 4.046 0.000
Ba Re Ag
1 1 4
direct
0.000 0.000 0.000 Ba
0.750 0.750 0.750 Re
0.376 0.376 0.376 Ag
0.376 0.376 0.872 Ag
0.376 0.872 0.376 Ag
0.872 0.376 0.376 Ag


No. 3
Ba2ReAg | Alexandria | PBE | relaxed; energy relative to the elements = 0.716 eV/atom; ΔE to the lowest computed polymorph = 0 meV/atom
1.0
4.798 0.000 0.000
0.000 2.449 5.796
0.000 -2.449 5.796
Ba Re Ag
2 1 1
direct
0.000 0.000 0.000 Ba
0.500 0.291 0.291 Ba
0.000 0.691 0.691 Re
0.500 0.595 0.595 Ag